Record 1
Below is a PBEsol-optimized structure of Tl2GaHg2, with properties calculated at the SCAN level.

Computed properties:
Total magnetization = 0.00 μB/cell
ΔH_f (0 K) = 0.08 eV per atom
SG = P4/mbm (127)
Total energy = -59.397 eV per atom
D(E_F) = 2.8 states/eV/f.u.

Cell: 5.1390 7.0601 7.0601 Å, 90.00 90.00 90.00°
Sites, in units of the cell vectors:
Ga (0.0000, 0.0000, 0.0000)
Tl (0.5000, 0.8275, 0.3275)
Hg (0.0000, 0.3556, 0.8556)
Tl (0.5000, 0.6725, 0.8275)
Hg (0.0000, 0.6444, 0.1444)
Tl (0.5000, 0.3275, 0.1725)
Hg (0.0000, 0.1444, 0.3556)
Ga (0.0000, 0.5000, 0.5000)
Hg (0.0000, 0.8556, 0.6444)
Tl (0.5000, 0.1725, 0.6725)

***

Record 2
Below is a PBEsol-optimized structure of Sr4RuAu, with properties calculated at the SCAN level.

Computed properties:
Total magnetization = 0.01 μB/cell
ΔH_f (0 K) = 1.05 eV per atom
SG = F-43m (216)
Total energy = -31.128 eV per atom
D(E_F) = 6.1 states/eV/f.u.

Cell: 6.2748 6.2748 6.2748 Å, 60.00 60.00 60.00°
Sites, in units of the cell vectors:
Sr (0.3744, 0.3744, 0.3744)
Sr (0.3744, 0.3744, 0.8769)
Ru (0.0000, 0.0000, 0.0000)
Au (0.7500, 0.7500, 0.7500)
Sr (0.8769, 0.3744, 0.3744)
Sr (0.3744, 0.8769, 0.3744)

***

Record 3
Below is a PBEsol-optimized structure of Cs2AuN2, with properties calculated at the SCAN level.

Computed properties:
Formation energy without anion corrections = -0.3003 eV/atom
Total magnetization = 2.00 μB/cell
SG = P4/mbm (127)
Total energy = -32.972 eV per atom
D(E_F) = 2.8 states/eV/f.u.

Cell: 3.8482 8.4854 8.4854 Å, 90.00 90.00 90.00°
Site moments in Bohr magnetons follow the coordinates.
Sites, in units of the cell vectors:
Au (0.0000, 0.5000, 0.5000)  0.02
Cs (0.5000, 0.7311, 0.7689)  0.02
Au (0.0000, 0.0000, 0.0000)  0.02
Cs (0.5000, 0.2311, 0.7311)  0.02
Cs (0.5000, 0.7689, 0.2689)  0.02
N (0.0000, 0.5488, 0.0488)  0.23
N (0.0000, 0.0488, 0.4512)  0.23
N (0.0000, 0.9512, 0.5488)  0.23
N (0.0000, 0.4512, 0.9512)  0.23
Cs (0.5000, 0.2689, 0.2311)  0.02

***

Record 4
Below is a PBEsol-optimized structure of TaTcCl, with properties calculated at the SCAN level.

Computed properties:
Formation energy without anion corrections = 0.0258 eV/atom
Relative energy among the computed polymorphs = 0 meV per atom
Total magnetization = 0.00 μB/cell
SG = Fmm2 (42)
Total energy = -36.515 eV per atom
D(E_F) = 1.8 states/eV/f.u.

Cell: 2.9894 2.9894 6.6332 Å, 97.38 97.38 115.47°
Sites, in units of the cell vectors:
Cl (0.0107, 0.0107, 0.0213)
Tc (0.3163, 0.3163, 0.6325)
Ta (0.6731, 0.6731, 0.3461)

***

Record 5
Below is a PBEsol-optimized structure of BaTeI2Cl, with properties calculated at the SCAN level.

Computed properties:
Formation energy without anion corrections = -0.3964 eV/atom
Total magnetization = 3.02 μB/cell
SG = P4/mmm (123)
Total energy = -32.049 eV per atom
D(E_F) = 5.2 states/eV/f.u.

Cell: 6.5497 6.5497 7.0346 Å, 90.00 90.00 90.00°
Site moments in Bohr magnetons follow the coordinates.
Sites, in units of the cell vectors:
I (0.0000, 0.5000, 0.0000)  0.15
Te (0.0000, 0.0000, 0.5000)  0.94
Ba (0.0000, 0.0000, 0.0000)  -0.01
Cl (0.5000, 0.5000, 0.5000)  0.49
I (0.5000, 0.0000, 0.0000)  0.15

***

Record 6
Below is a PBEsol-optimized structure of Sb3PBr, with properties calculated at the SCAN level.

Computed properties:
Formation energy without anion corrections = 1.5421 eV/atom
Total magnetization = 0.00 μB/cell
SG = Pm-3m (221)
Total energy = -26.786 eV per atom
D(E_F) = 7.1 states/eV/f.u.

Cell: 5.3889 5.3889 5.3889 Å, 90.00 90.00 90.00°
Sites, in units of the cell vectors:
Sb (0.5000, 0.0000, 0.0000)
P (0.5000, 0.5000, 0.5000)
Br (0.0000, 0.0000, 0.0000)
Sb (0.0000, 0.0000, 0.5000)
Sb (0.0000, 0.5000, 0.0000)

***

Record 7
Below is a PBEsol-optimized structure of BaLi2Ca, with properties calculated at the SCAN level.

Computed properties:
Relative energy among the computed polymorphs = 0 meV per atom
Total magnetization = 0.02 μB/cell
ΔH_f (0 K) = 0.02 eV per atom
SG = P4/mmm (123)
Total energy = -13.475 eV per atom
D(E_F) = 3.7 states/eV/f.u.

Cell: 4.1023 4.1023 8.3352 Å, 90.00 90.00 90.00°
Sites, in units of the cell vectors:
Ca (0.5000, 0.5000, 0.5000)
Li (0.0000, 0.0000, 0.7154)
Ba (0.5000, 0.5000, 0.0000)
Li (0.0000, 0.0000, 0.2846)

***

Record 8
Below is a PBEsol-optimized structure of TiCr3Ga, with properties calculated at the SCAN level.

Computed properties:
Total magnetization = 2.64 μB/cell
ΔH_f (0 K) = 1.51 eV per atom
SG = Pm-3m (221)
Total energy = -15.991 eV per atom
D(E_F) = 4.8 states/eV/f.u.

Cell: 4.2232 4.2232 4.2232 Å, 90.00 90.00 90.00°
Site moments in Bohr magnetons follow the coordinates.
Sites, in units of the cell vectors:
Ti (0.0000, 0.0000, 0.0000)  -0.23
Cr (0.0000, 0.0000, 0.5000)  0.97
Cr (0.5000, 0.0000, 0.0000)  0.97
Ga (0.5000, 0.5000, 0.5000)  -0.06
Cr (0.0000, 0.5000, 0.0000)  0.97